(1)
The following is a DFT calculation (GGA-PBEsol) of a relaxed ZrTcAu crystal.

**Calculated formation energy**: 0.482 eV/atom
**Energy relative to the lowest polymorph listed for this composition**: 48.3 kJ/mol of atoms
**Magnetic moment**: 1.42 μB/f.u.
**Final energy**: -22.835 eV per formula unit

Cell lengths 6.222, 6.222, 6.222 Å; angles 90.00, 90.00, 90.00 degrees
Space group F-43m (No. 216)
Asymmetric unit:
Zr 0.000 0.000 0.000
Tc 0.250 0.250 0.250
Au 0.000 0.000 0.500



(2)
The following is a DFT calculation (GGA-PBEsol) of a relaxed ZrTc2Au crystal.

**Calculated formation energy**: 0.207 eV/atom
**Magnetic moment**: 0.00 μB/f.u.
**Final energy**: -34.720 eV per formula unit

Cell lengths 6.375, 6.375, 6.375 Å; angles 90.00, 90.00, 90.00 degrees
Space group Fm-3m (No. 225)
Asymmetric unit:
Zr 0.000 0.000 0.000
Tc 0.250 0.250 0.250
Au 0.000 0.000 0.500



(3)
The following is a DFT calculation (GGA-PBEsol) of a relaxed TeAu5 crystal.

**Magnetic moment**: 0.00 μB/f.u.
**E_form (uncorrected)**: 0.6 eV/f.u.
**Final energy**: -22.528 eV per formula unit

Cell lengths 4.110, 12.894, 4.160 Å; angles 90.00, 90.00, 90.00 degrees
Space group Cmmm (No. 65)
Asymmetric unit:
Te 0.000 0.000 0.000
Au 0.000 0.172 0.500
Au 0.000 0.328 0.000
Au 0.000 0.500 0.500



The following Fermi-level density of states values (in states/eV/f.u.) correspond, in order, to the records above: 4.8 6.6 2.1.